Computed, not measured: an optimized crystal structure of Ba3SbCl at the PBE level of DFT.

a b c (Å): 5.8985 5.8985 5.8985
angles (deg): 90.00 90.00 90.00
Fractional coordinates of all 5 atoms:
Ba1 0.0000 0.0000 0.5000
Ba2 0.0000 0.5000 0.0000
Ba3 0.5000 0.0000 0.0000
Sb1 0.5000 0.5000 0.5000
Cl1 0.0000 0.0000 0.0000

Results
Offset from the most stable computed form: 0.000 eV per atom
Space group: No. 221

Computed, not measured: an optimized crystal structure of Ba2SbCl at the PBE level of DFT.

a b c (Å): 5.8982 5.8982 4.1441
angles (deg): 90.00 90.00 90.00
Fractional coordinates of all 4 atoms:
Ba1 0.0000 0.5000 0.0000
Ba2 0.5000 0.0000 0.0000
Sb1 0.0000 0.0000 0.5000
Cl1 0.5000 0.5000 0.5000

Results
Space group: No. 123

Computed, not measured: an optimized crystal structure of BaSbCl at the PBE level of DFT.

a b c (Å): 5.4282 5.4282 5.4282
angles (deg): 60.00 60.00 60.00
Fractional coordinates of all 3 atoms:
Ba1 0.0000 0.0000 0.0000
Sb1 0.5000 0.5000 0.5000
Cl1 0.2500 0.2500 0.2500

Results
Offset from the most stable computed form: 0.691 eV per atom
Space group: No. 216

Computed, not measured: an optimized crystal structure of Ba2SbCl at the PBE level of DFT.

a b c (Å): 4.9256 4.9256 6.7846
angles (deg): 90.00 90.00 90.00
Fractional coordinates of all 4 atoms:
Ba1 0.0000 0.0000 0.0000
Ba2 0.5000 0.5000 0.5000
Sb1 0.0000 0.0000 0.5000
Cl1 0.5000 0.5000 0.0000

Results
Space group: No. 123

no.,final energy (eV/f.u.),raw formation energy (kJ/mol of formula units)
1,-16.4,-450
2,-15.5,-550
3,-10.3,-233
4,-16.1,-602